Record 1
First-principles (GGA-PBE) data for Ba2ZnSi after structural relaxation, as listed in Alexandria.

Unit cell a=5.7626 b=5.7626 c=4.0455 alpha=90.00 beta=90.00 gamma=90.06
Element x y z (fractional)
1 Ba 0.0000 0.5000 0.0000
2 Ba 0.5000 0.0000 0.0000
3 Zn 0.0000 0.0000 0.5000
4 Si 0.5000 0.5000 0.5000

Spin magnetization: 0.00 Bohr magnetons per cell
DOS at the Fermi energy: 0.628 states/eV per atom
Uncorrected formation energy: -0.146 eV/atom
VASP energy: -11.13 eV for the cell shown
ΔE to the lowest computed polymorph: 117 meV/atom



Record 2
First-principles (GGA-PBE) data for BaZnSi3 after structural relaxation, as listed in Alexandria.

Unit cell a=5.7540 b=5.7540 c=5.7540 alpha=90.00 beta=90.00 gamma=90.00
Element x y z (fractional)
1 Ba 0.0000 0.0000 0.0000
2 Zn 0.5000 0.5000 0.5000
3 Si 0.0000 0.0000 0.5000
4 Si 0.0000 0.5000 0.0000
5 Si 0.5000 0.0000 0.0000

Spin magnetization: 0.00 Bohr magnetons per cell
DOS at the Fermi energy: 1.503 states/eV per atom
Uncorrected formation energy: 1.850 eV/atom
VASP energy: -10.22 eV for the cell shown